(1)
Material: Al2InAu
Method: DFT, GGA-PBE
State: relaxed

Structure (POSCAR):
```
Al2InAu
1.0
1.621 0.936 8.645
-1.621 0.936 8.645
0.000 -1.871 8.645
Al In Au
2 1 1
Cartesian
0.000 0.000 0.000 Al
0.000 0.000 6.538 Al
0.000 0.000 19.652 In
0.000 0.000 13.362 Au
```

crystal system = trigonal
formation energy = -0.042 eV/atom
total DFT energy (no corrections) = -3.417 eV per atom
mass density = 7.72 g cm⁻³
V = 19.664 Å³ per atom



(2)
Material: AlInAu2
Method: DFT, GGA-PBE
State: relaxed

Structure (POSCAR):
```
AlInAu2
1.0
3.121 0.000 0.000
0.000 3.153 0.000
-1.311 0.000 7.891
Al In Au
1 1 2
Cartesian
0.000 0.000 0.000 Al
-0.655 0.000 3.946 In
0.262 1.577 6.301 Au
1.549 1.577 1.590 Au
```

crystal system = monoclinic
formation energy = -0.215 eV/atom
total DFT energy (no corrections) = -3.474 eV per atom
mass density = 11.45 g cm⁻³
V = 19.417 Å³ per atom



(3)
Material: AlIn2Au2
Method: DFT, GGA-PBE
State: relaxed

Structure (POSCAR):
```
AlIn2Au2
1.0
8.672 0.000 0.000
0.000 8.672 0.000
0.000 0.000 2.936
Al In Au
2 4 4
Cartesian
0.000 0.000 0.000 Al
4.336 4.336 0.000 Al
1.199 3.137 0.000 In
3.137 7.473 0.000 In
5.535 1.199 0.000 In
7.473 5.535 0.000 In
1.389 5.725 1.468 Au
2.947 1.389 1.468 Au
5.725 7.283 1.468 Au
7.283 2.947 1.468 Au
```

crystal system = tetragonal
formation energy = 0.056 eV/atom
total DFT energy (no corrections) = -3.099 eV per atom
distance to the lowest polymorph of the same formula = 164 meV/atom
mass density = 9.78 g cm⁻³
V = 22.083 Å³ per atom



(4)
Material: AlIn4Au
Method: DFT, GGA-PBE
State: relaxed

Structure (POSCAR):
```
AlIn4Au
1.0
0.000 4.280 4.280
4.280 0.000 4.280
4.280 4.280 0.000
Al In Au
1 4 1
Cartesian
0.000 0.000 0.000 Al
3.211 3.211 3.211 In
5.349 5.349 3.211 In
5.349 3.211 5.349 In
3.211 5.349 5.349 In
6.420 6.420 6.420 Au
```

crystal system = cubic
formation energy = 0.339 eV/atom
total DFT energy (no corrections) = -2.657 eV per atom
mass density = 7.23 g cm⁻³
V = 26.135 Å³ per atom



(5)
Material: Al2InAu6
Method: DFT, GGA-PBE
State: relaxed

Structure (POSCAR):
```
Al2InAu6
1.0
6.134 -4.604 0.000
6.134 4.604 0.000
-0.719 0.000 6.039
Al In Au
4 2 12
Cartesian
1.764 0.964 1.143 Al
1.405 -0.964 4.162 Al
10.144 0.964 1.876 Al
9.785 -0.964 4.896 Al
5.595 0.642 4.529 In
5.954 -0.642 1.510 In
5.271 3.239 2.850 Au
2.941 1.046 3.606 Au
4.308 1.607 0.546 Au
6.637 3.239 0.169 Au
3.301 -1.046 0.586 Au
7.600 1.607 2.473 Au
3.949 -1.607 3.565 Au
8.248 1.046 5.452 Au
4.912 -3.239 5.869 Au
7.241 -1.607 5.493 Au
8.607 -1.046 2.433 Au
6.277 -3.239 3.189 Au
```

crystal system = monoclinic
formation energy = -0.241 eV/atom
total DFT energy (no corrections) = -3.562 eV per atom
mass density = 13.15 g cm⁻³
V = 18.948 Å³ per atom



(6)
Material: Al2InAu
Method: DFT, GGA-PBE
State: relaxed

Structure (POSCAR):
```
Al2InAu
1.0
-2.202 2.202 8.732
2.202 -2.202 8.732
2.202 2.202 -8.732
Al In Au
4 2 2
Cartesian
3.303 0.911 -2.183 Al
0.911 1.101 2.183 Al
-1.101 1.291 6.549 Al
1.291 1.101 10.915 Al
2.202 0.000 4.366 In
0.000 0.000 8.732 In
0.000 0.000 0.000 Au
0.000 2.202 4.366 Au
```

crystal system = tetragonal
formation energy = -0.023 eV/atom
total DFT energy (no corrections) = -3.398 eV per atom
mass density = 7.17 g cm⁻³
V = 21.173 Å³ per atom



(7)
Material: AlIn2Au
Method: DFT, GGA-PBE
State: relaxed

Structure (POSCAR):
```
AlIn2Au
1.0
4.119 0.000 0.000
0.000 4.340 0.000
-2.047 0.000 5.036
Al In Au
1 2 1
Cartesian
0.000 0.000 0.000 Al
-0.015 2.170 4.241 In
2.037 0.000 2.225 In
-0.059 2.170 1.403 Au
```

crystal system = monoclinic
formation energy = -0.092 eV/atom
total DFT energy (no corrections) = -3.216 eV per atom
mass density = 8.36 g cm⁻³
V = 22.511 Å³ per atom



(8)
Material: Al3InAu6
Method: DFT, GGA-PBE
State: relaxed

Structure (POSCAR):
```
Al3InAu6
1.0
8.882 0.000 0.000
0.000 3.898 0.000
-2.742 0.000 10.980
Al In Au
6 2 12
Cartesian
0.201 0.974 2.034 Al
0.392 2.923 6.117 Al
0.810 0.974 10.147 Al
5.331 2.923 0.833 Al
5.748 0.974 4.864 Al
5.939 2.923 8.946 Al
3.540 0.974 2.920 In
2.601 2.923 8.060 In
-0.607 0.974 4.583 Au
-1.825 0.974 10.415 Au
-0.240 2.923 8.646 Au
1.322 2.923 3.395 Au
2.782 2.923 0.873 Au
2.059 0.974 5.787 Au
4.081 2.923 5.193 Au
3.359 0.974 10.107 Au
4.818 0.974 7.585 Au
6.381 0.974 2.335 Au
7.966 2.923 0.565 Au
6.748 2.923 6.397 Au
```

crystal system = monoclinic
formation energy = -0.265 eV/atom
total DFT energy (no corrections) = -3.628 eV per atom
mass density = 12.03 g cm⁻³
V = 19.008 Å³ per atom



(9)
Material: AlIn2Au
Method: DFT, GGA-PBE
State: relaxed

Structure (POSCAR):
```
AlIn2Au
1.0
1.744 1.007 8.565
-1.744 1.007 8.565
0.000 -2.014 8.565
Al In Au
1 2 1
Cartesian
0.000 0.000 0.000 Al
0.000 0.000 13.367 In
0.000 0.000 19.406 In
0.000 0.000 6.950 Au
```

crystal system = trigonal
formation energy = -0.087 eV/atom
total DFT energy (no corrections) = -3.211 eV per atom
mass density = 8.35 g cm⁻³
V = 22.558 Å³ per atom



(10)
Material: AlIn2Au6
Method: DFT, GGA-PBE
State: relaxed

Structure (POSCAR):
```
AlIn2Au6
1.0
3.966 0.000 0.000
0.000 7.170 3.197
0.000 -7.170 3.197
Al In Au
1 2 6
Cartesian
0.000 0.000 0.000 Al
1.983 -2.757 3.582 In
1.983 2.757 3.582 In
0.000 -4.631 2.407 Au
0.000 0.000 2.662 Au
0.000 4.631 2.407 Au
1.983 -1.517 1.089 Au
1.983 1.517 1.089 Au
1.983 0.000 4.675 Au
```

crystal system = orthorhombic
formation energy = -0.126 eV/atom
total DFT energy (no corrections) = -3.335 eV per atom
mass density = 13.13 g cm⁻³
V = 20.207 Å³ per atom



(11)
Material: AlIn2Au
Method: DFT, GGA-PBE
State: relaxed

Structure (POSCAR):
```
AlIn2Au
1.0
3.593 0.000 0.000
0.000 4.114 0.000
-0.891 0.000 5.941
Al In Au
1 2 1
Cartesian
0.000 0.000 0.000 Al
1.073 2.057 4.438 In
1.629 2.057 1.502 In
-0.445 0.000 2.970 Au
```

crystal system = monoclinic
formation energy = 0.039 eV/atom
total DFT energy (no corrections) = -3.085 eV per atom
mass density = 8.58 g cm⁻³
V = 21.953 Å³ per atom



(12)
Material: AlIn2Au8
Method: DFT, GGA-PBE
State: relaxed

Structure (POSCAR):
```
AlIn2Au8
1.0
4.163 0.000 0.000
0.003 5.449 0.000
2.069 0.346 9.650
Al In Au
1 2 8
Cartesian
0.000 0.000 0.000 Al
2.083 3.714 3.346 In
4.153 2.081 6.304 In
2.070 2.573 8.210 Au
2.082 5.305 7.068 Au
2.071 1.175 4.468 Au
2.078 1.367 0.686 Au
4.157 4.429 8.963 Au
4.165 4.620 5.181 Au
4.153 0.490 2.582 Au
4.165 3.222 1.439 Au
```

crystal system = triclinic
formation energy = -0.146 eV/atom
total DFT energy (no corrections) = -3.367 eV per atom
distance to the lowest polymorph of the same formula = 19 meV/atom
mass density = 13.90 g cm⁻³
V = 19.899 Å³ per atom